1.
DFT (PBE) results for a relaxed NbZnCo crystal.

The structure in extended XYZ format:
```
3
Lattice="-0.2267 -0.9950 -2.7555 0.1017 -2.7647 0.9900 -4.8719 1.8478 1.3003" Properties=species:S:1:pos:R:3 pbc="T T T"
Nb -3.1538 -0.0205 0.2669
Zn -0.1743 -0.0011 0.0147
Co -1.6687 -1.8903 -0.7468
```

Calculated values
Crystal system: tetragonal
Density: 8.437 Mg/m³
E_form: -53.4 meV per atom

2.
DFT (PBE) results for a relaxed TcNiRuW crystal.

The structure in extended XYZ format:
```
4
Lattice="4.3041 0.0000 0.0000 2.1521 3.7275 0.0000 2.1521 1.2425 3.5143" Properties=species:S:1:pos:R:3 pbc="T T T"
Ru 0.0000 0.0000 0.0000
Tc 4.3041 2.4850 1.7572
Ni 2.1521 1.2425 0.8786
W 6.4562 3.7275 2.6357
```

Calculated values
Offset from the most stable computed form: 0.1378 eV per atom
Crystal system: cubic
Density: 13.006 Mg/m³
E_form: 107.6 meV per atom

3.
DFT (PBE) results for a relaxed HfCN2O crystal.

The structure in extended XYZ format:
```
5
Lattice="3.3577 0.0000 0.0000 0.0000 3.3577 0.0000 0.0000 0.0000 3.5934" Properties=species:S:1:pos:R:3 pbc="T T T"
C 0.0000 0.0000 0.0000
O 0.0000 0.0000 1.7967
N 1.6788 0.0000 0.0000
N 0.0000 1.6788 0.0000
Hf 1.6788 1.6788 1.7967
```

Calculated values
Energy relative to the elements, uncorrected: 390.8 meV per atom
Crystal system: tetragonal
Density: 9.612 Mg/m³

4.
DFT (PBE) results for a relaxed Ti2RuS4 crystal.

The structure in extended XYZ format:
```
7
Lattice="4.7118 0.0000 0.0000 0.0000 4.7118 0.0000 2.3559 2.3559 5.8808" Properties=species:S:1:pos:R:3 pbc="T T T"
Ru 0.0000 0.0000 0.0000
S 2.3559 0.0000 0.0000
S 2.3559 2.3559 3.5011
S 4.7118 4.7118 2.3797
S 0.0000 2.3559 0.0000
Ti 2.3559 2.3559 1.3358
Ti 4.7118 4.7118 4.5450
```

Calculated values
Energy relative to the elements, uncorrected: -337.7 meV per atom
Crystal system: tetragonal
Density: 4.134 Mg/m³

5.
DFT (PBE) results for a relaxed GdNbRu2 crystal.

The structure in extended XYZ format:
```
4
Lattice="-2.3933 -2.0223 -0.7475 1.6453 -2.4348 1.3195 -3.0253 1.2996 6.1704" Properties=species:S:1:pos:R:3 pbc="T T T"
Ru -2.3737 1.0197 4.8415
Ru -0.6516 0.2799 1.3290
Gd -1.8866 -1.5787 3.3712
Nb -0.3740 -2.2286 0.2860
```

Calculated values
Crystal system: tetragonal
Density: 10.349 Mg/m³
E_form: -298.7 meV per atom

6.
DFT (PBE) results for a relaxed UNbRu crystal.

The structure in extended XYZ format:
```
6
Lattice="4.6104 0.0000 0.0000 0.0000 3.2017 0.0000 0.0000 0.0000 7.6814" Properties=species:S:1:pos:R:3 pbc="T T T"
U 2.3052 1.6008 5.0035
U 0.0000 0.0000 2.6779
Ru 0.0000 0.0000 5.4337
Ru 2.3052 1.6008 2.2476
Nb 0.0000 1.6008 0.0214
Nb 2.3052 0.0000 7.6600
```

Calculated values
Offset from the most stable computed form: 0.0000 eV per atom
Crystal system: orthorhombic
Density: 12.654 Mg/m³
E_form: -86.8 meV per atom

- Which of these has the highest density?
  TcNiRuW

- Look up the density of the first one.
  8.437 Mg/m³

- Which value of density does entry 3 give?
  9.612 Mg/m³